1.
A geometry-optimized ScPaGaHg structure, computed with PBE.

Results
E_tot   -19.763 eV per cell
Crystal system   cubic

The structure in POSCAR format:
```
ScPaGaHg
1.0
5.051 0.000 0.000
2.525 4.374 0.000
2.525 1.458 4.124
Sc Pa Hg Ga
1 1 1 1
Direct
0.000 0.000 0.000
0.500 0.500 0.500
0.750 0.750 0.750
0.250 0.250 0.250
```

=====

2.
A geometry-optimized CsAgTe structure, computed with PBE.

Results
E_tot   -8.853 eV per cell
Crystal system   hexagonal

The structure in POSCAR format:
```
CsAgTe
1.0
5.676 0.000 0.000
0.000 4.869 0.000
0.000 -2.434 4.217
Cs Te Ag
1 1 1
Direct
0.667 0.667 0.333
0.166 0.000 0.000
0.167 0.333 0.667
```

=====

3.
A geometry-optimized Ga2SnGe2 structure, computed with PBE.

Results
Energy relative to the lowest polymorph listed for this composition   0.020 eV per atom
Crystal system   tetragonal

The structure in POSCAR format:
```
Ga2SnGe2
1.0
-3.589 -0.417 -1.819
-0.854 -3.140 2.404
-4.927 2.324 4.690
Ge Sn Ga
2 1 2
Direct
0.394 0.394 0.213
0.606 0.606 0.787
0.000 0.000 0.000
0.750 0.250 0.500
0.250 0.750 0.500
```

=====

4.
A geometry-optimized PmNd5YEr2 structure, computed with PBE.

Results
E_tot   -85.669 eV per cell
Crystal system   orthorhombic

The structure in POSCAR format:
```
PmNd5YEr2
1.0
5.670 0.000 0.000
-2.835 10.267 0.000
0.000 0.000 10.731
Pm Nd Y Er
2 10 2 4
Direct
0.799 0.598 0.510
0.201 0.402 0.010
0.390 0.779 0.025
0.720 0.440 0.810
0.481 0.961 0.743
0.297 0.593 0.705
0.985 0.969 0.520
0.610 0.221 0.525
0.280 0.560 0.310
0.519 0.039 0.243
0.703 0.407 0.205
0.015 0.031 0.020
0.591 0.182 0.959
0.409 0.818 0.459
0.884 0.769 0.814
0.111 0.223 0.738
0.116 0.231 0.314
0.889 0.777 0.238
```

=====

5.
A geometry-optimized MgB3W structure, computed with PBE.

Results
Energy relative to the lowest polymorph listed for this composition   1.609 eV per atom
Crystal system   cubic

The structure in POSCAR format:
```
MgB3W
1.0
3.949 0.000 0.000
0.000 3.949 0.000
0.000 0.000 3.949
Mg B W
1 3 1
Direct
0.000 0.000 0.000
0.000 0.500 0.000
0.000 0.000 0.500
0.500 0.000 0.000
0.500 0.500 0.500
```

=====

6.
A geometry-optimized TaReSn2W structure, computed with PBE.

Results
E_tot   -34.837 eV per cell
Crystal system   tetragonal

The structure in POSCAR format:
```
TaReSn2W
1.0
-0.510 3.670 -3.681
-3.453 2.145 2.617
3.619 2.905 2.395
Re Sn W Ta
1 2 1 1
Direct
0.000 0.500 0.000
0.000 0.000 0.500
0.500 0.000 0.000
0.500 0.500 0.500
0.000 0.000 0.000
```

=====

7.
A geometry-optimized Pm3ZrAl8 structure, computed with PBE.

Results
E_tot   -58.594 eV per cell
Crystal system   trigonal

The structure in POSCAR format:
```
Pm3ZrAl8
1.0
5.575 0.000 0.000
2.788 4.828 0.000
2.788 1.609 9.112
Pm Zr Al
3 1 8
Direct
0.375 0.375 0.875
0.000 0.000 0.001
0.500 0.500 0.499
0.875 0.875 0.376
0.934 0.436 0.194
0.442 0.939 0.681
0.436 0.436 0.194
0.939 0.939 0.681
0.188 0.188 0.436
0.687 0.687 0.939
0.436 0.934 0.194
0.939 0.442 0.681
```

=====

8.
A geometry-optimized V2FeH structure, computed with PBE.

Results
Energy relative to the lowest polymorph listed for this composition   0.213 eV per atom
Crystal system   tetragonal

The structure in POSCAR format:
```
V2FeH
1.0
-2.013 -1.700 -0.346
-0.309 -0.170 2.634
-3.614 4.311 -0.147
H Fe V
1 1 2
Direct
0.500 0.500 0.500
0.500 0.500 0.000
0.000 0.000 0.715
0.000 0.000 0.285
```

=====

9.
A geometry-optimized Hf3MnV structure, computed with PBE.

Results
Energy relative to the lowest polymorph listed for this composition   0.000 eV per atom
Crystal system   cubic

The structure in POSCAR format:
```
Hf3MnV
1.0
-2.724 2.391 -3.098
3.060 -1.052 -3.502
-2.439 -3.989 -0.933
Mn Hf V
1 3 1
Direct
0.000 0.000 0.000
0.000 0.500 0.000
0.000 0.000 0.500
0.500 0.000 0.000
0.500 0.500 0.500
```

=====

10.
A geometry-optimized AlTc2Sb structure, computed with PBE.

Results
Energy relative to the lowest polymorph listed for this composition   0.126 eV per atom
Crystal system   orthorhombic

The structure in POSCAR format:
```
AlTc2Sb
1.0
5.384 0.008 0.002
2.710 4.652 -0.002
-3.671 -2.982 2.572
Sb Tc Al
1 2 1
Direct
0.759 0.259 0.500
0.004 0.004 0.000
0.251 0.751 0.500
0.487 0.487 0.000
```

=====

11.
A geometry-optimized NbSbAsSe2 structure, computed with PBE.

Results
Energy relative to the lowest polymorph listed for this composition   0.841 eV per atom
Crystal system   tetragonal

The structure in POSCAR format:
```
NbSbAsSe2
1.0
5.200 0.000 0.000
0.000 5.200 0.000
0.000 0.000 5.183
Sb Nb As Se
1 1 1 2
Direct
0.000 0.000 0.000
0.500 0.500 0.500
0.000 0.000 0.500
0.000 0.500 0.000
0.500 0.000 0.000
```

=====

12.
A geometry-optimized YAl4Pt2 structure, computed with PBE.

Results
E_tot   -161.623 eV per cell
Crystal system   orthorhombic

The structure in POSCAR format:
```
YAl4Pt2
1.0
-1.369 -1.284 3.845
0.227 -6.314 -2.028
16.370 -1.161 5.443
Y Al Pt
4 16 8
Direct
0.750 0.986 0.640
0.250 0.014 0.360
0.250 0.486 0.860
0.750 0.514 0.140
0.250 0.270 0.693
0.750 0.730 0.307
0.750 0.770 0.807
0.250 0.230 0.193
0.250 0.676 0.686
0.750 0.324 0.314
0.750 0.176 0.814
0.250 0.824 0.186
0.250 0.155 0.535
0.750 0.845 0.465
0.750 0.655 0.965
0.250 0.345 0.035
0.250 0.490 0.431
0.750 0.510 0.569
0.750 0.990 0.069
0.250 0.010 0.931
0.250 0.755 0.538
0.750 0.245 0.462
0.750 0.255 0.962
0.250 0.745 0.038
0.250 0.970 0.785
0.750 0.030 0.215
0.750 0.470 0.715
0.250 0.530 0.285
```

=====

13.
A geometry-optimized HgTeIr2 structure, computed with PBE.

Results
Energy relative to the lowest polymorph listed for this composition   0.329 eV per atom
Crystal system   monoclinic

The structure in POSCAR format:
```
HgTeIr2
1.0
5.377 -0.094 -0.274
-2.627 4.913 0.056
0.122 0.979 2.847
Hg Ir Te
1 2 1
Direct
0.500 0.500 0.000
0.000 0.000 0.000
0.500 0.000 0.500
0.000 0.500 0.500
```

=====

14.
A geometry-optimized K2RbSb3 structure, computed with PBE.

Results
E_tot   -35.576 eV per cell
Crystal system   monoclinic

The structure in POSCAR format:
```
K2RbSb3
1.0
2.970 1.197 -6.477
2.920 -5.530 -3.619
-12.134 -2.804 1.820
K Rb Sb
4 2 6
Direct
0.804 0.042 0.584
0.543 0.280 0.084
0.457 0.720 0.916
0.196 0.958 0.416
0.850 0.600 0.750
0.150 0.400 0.250
0.584 0.834 0.250
0.416 0.166 0.750
0.093 0.841 0.087
0.754 0.506 0.413
0.246 0.494 0.587
0.907 0.159 0.913
```

=====

15.
A geometry-optimized KBeCd3 structure, computed with PBE.

Results
Energy relative to the lowest polymorph listed for this composition   0.000 eV per atom
Crystal system   cubic

The structure in POSCAR format:
```
KBeCd3
1.0
4.965 0.000 0.000
0.000 4.965 0.000
0.000 0.000 4.965
Be K Cd
1 1 3
Direct
0.000 0.000 0.000
0.500 0.500 0.500
0.000 0.500 0.000
0.000 0.000 0.500
0.500 0.000 0.000
```

=====

16.
A geometry-optimized SrInAs3 structure, computed with PBE.

Results
Energy relative to the lowest polymorph listed for this composition   0.641 eV per atom
Crystal system   cubic

The structure in POSCAR format:
```
SrInAs3
1.0
-2.047 -2.626 4.603
4.676 1.427 2.894
-2.493 4.832 1.647
Sr As In
1 3 1
Direct
0.000 0.000 0.000
0.000 0.500 0.000
0.000 0.000 0.500
0.500 0.000 0.000
0.500 0.500 0.500
```

=====

17.
A geometry-optimized CuHO3 structure, computed with PBE.

Results
E_tot   -17.681 eV per cell
Crystal system   cubic

The structure in POSCAR format:
```
CuHO3
1.0
-2.408 -1.983 1.976
0.320 -2.784 -2.405
2.781 -1.397 1.987
H O Cu
1 3 1
Direct
0.500 0.500 0.500
0.000 0.500 0.000
0.000 0.000 0.500
0.500 0.000 0.000
0.000 0.000 0.000
```

=====

18.
A geometry-optimized Ca2LaPm2 structure, computed with PBE.

Results
E_tot   -16.681 eV per cell
Crystal system   tetragonal

The structure in POSCAR format:
```
Ca2LaPm2
1.0
-0.010 4.029 2.558
-3.403 1.787 -2.828
-4.295 -6.191 5.283
Ca La Pm
2 1 2
Direct
0.750 0.250 0.500
0.250 0.750 0.500
0.000 0.000 0.000
0.411 0.411 0.822
0.589 0.589 0.178
```

=====

19.
A geometry-optimized BiPd4 structure, computed with PBE.

Results
Energy relative to the lowest polymorph listed for this composition   1.029 eV per atom
Crystal system   cubic

The structure in POSCAR format:
```
BiPd4
1.0
5.015 0.000 0.000
0.000 5.015 0.000
0.000 0.000 5.015
Bi Pd
1 4
Direct
0.500 0.500 0.500
0.000 0.000 0.000
0.500 0.000 0.500
0.000 0.500 0.500
0.500 0.500 0.000
```

=====

20.
A geometry-optimized CaZnCr2 structure, computed with PBE.

Results
E_tot   -20.417 eV per cell
Crystal system   tetragonal

The structure in POSCAR format:
```
CaZnCr2
1.0
-0.427 0.653 -3.316
1.031 -3.162 -0.755
-6.011 -2.048 0.371
Cr Zn Ca
2 1 1
Direct
0.000 0.000 0.102
0.000 0.000 0.398
0.500 0.500 0.250
0.500 0.500 0.750
```

=====

21.
A geometry-optimized MgMoPb2 structure, computed with PBE.

Results
E_tot   -17.684 eV per cell
Crystal system   tetragonal

The structure in POSCAR format:
```
MgMoPb2
1.0
5.378 -0.003 0.000
1.527 5.156 0.000
-3.452 -2.576 3.219
Mg Mo Pb
1 1 2
Direct
0.250 0.750 0.500
0.750 0.250 0.500
0.000 0.000 0.000
0.500 0.500 0.000
```

=====

22.
A geometry-optimized Sr4TlIn3 structure, computed with PBE.

Results
E_tot   -20.732 eV per cell
Crystal system   tetragonal

The structure in POSCAR format:
```
Sr4TlIn3
1.0
-1.097 -0.394 -3.910
-2.492 -3.069 1.009
-12.160 10.646 2.338
Sr Tl In
4 1 3
Direct
0.000 0.000 0.873
0.000 0.000 0.127
0.000 0.000 0.376
0.000 0.000 0.624
0.500 0.500 0.000
0.500 0.500 0.252
0.500 0.500 0.500
0.500 0.500 0.748
```

=====

23.
A geometry-optimized Sm2Dy3Y6Th structure, computed with PBE.

Results
E_tot   -69.111 eV per cell
Crystal system   monoclinic

The structure in POSCAR format:
```
Sm2Dy3Y6Th
1.0
6.200 0.001 0.015
-3.098 5.371 0.015
-1.060 -1.835 11.631
Sm Dy Y Th
2 3 6 1
Direct
0.333 0.667 0.000
0.667 0.333 0.000
0.167 0.833 0.500
0.833 0.167 0.500
0.500 0.500 0.500
0.916 0.587 0.750
0.754 0.754 0.250
0.084 0.413 0.250
0.587 0.916 0.750
0.246 0.246 0.750
0.413 0.084 0.250
0.000 0.000 0.000
```

=====

24.
A geometry-optimized Be2ReO structure, computed with PBE.

Results
E_tot   -53.429 eV per cell
Crystal system   tetragonal

The structure in POSCAR format:
```
Be2ReO
1.0
-2.844 -3.235 -2.486
3.649 -3.373 0.215
-0.811 -4.434 1.723
Re O Be
2 2 4
Direct
0.000 0.000 0.000
0.750 0.250 0.500
0.500 0.500 0.000
0.250 0.750 0.500
0.490 0.125 0.250
0.260 0.625 0.250
0.375 0.510 0.750
0.875 0.740 0.750
```

=====

25.
A geometry-optimized Sr2PuGe3Au4 structure, computed with PBE.

Results
E_tot   -49.503 eV per cell
Crystal system   tetragonal

The structure in POSCAR format:
```
Sr2PuGe3Au4
1.0
-3.591 0.852 -2.517
-1.045 -4.343 0.020
-6.564 1.625 9.916
Sr Pu Ge Au
2 1 3 4
Direct
0.500 0.000 0.223
0.000 0.500 0.777
0.500 0.500 0.500
0.000 0.000 0.500
0.500 0.000 0.879
0.000 0.500 0.121
0.500 0.500 0.000
0.000 0.000 0.000
0.500 0.000 0.665
0.000 0.500 0.335
```